1.
The following is a PBE-GGA calculation of a relaxed TcMoRh crystal, from Alexandria.

Calculated values
- distance to the lowest polymorph of the same formula (meV per atom) = 151
- size of the total moment (μB/f.u.) = 0.00
- DFT total energy (eV/atom) = -9.432
- calculated formation energy (kcal/mol of atoms) = 1.939

The structure in CIF format:
```
data_TcMoRh
_chemical_formula_sum 'Tc2 Mo2 Rh2'
_cell_length_a 2.749
_cell_length_b 4.737
_cell_length_c 7.319
_cell_angle_alpha 90.68
_cell_angle_beta 90.26
_cell_angle_gamma 106.80
_symmetry_space_group_name_H-M 'P 1'
_symmetry_Int_Tables_number 1
loop_
_symmetry_equiv_pos_as_xyz
'x,y,z'
loop_
_atom_site_label
_atom_site_fract_x
_atom_site_fract_y
_atom_site_fract_z
Tc1 0.137 0.275 0.445
Tc2 0.863 0.725 0.555
Mo1 0.412 0.820 0.233
Mo2 0.588 0.180 0.767
Rh1 0.140 0.274 0.085
Rh2 0.860 0.726 0.915
```


2.
The following is a PBE-GGA calculation of a relaxed TcMo2Rh crystal, from Alexandria.

Calculated values
- distance to the lowest polymorph of the same formula (meV per atom) = 656
- size of the total moment (μB/f.u.) = 0.00
- DFT total energy (eV/atom) = -9.202
- calculated formation energy (kcal/mol of atoms) = 14.818

The structure in CIF format:
```
data_TcMo2Rh
_chemical_formula_sum 'Tc2 Mo4 Rh2'
_cell_length_a 9.298
_cell_length_b 9.298
_cell_length_c 9.298
_cell_angle_alpha 156.12
_cell_angle_beta 156.12
_cell_angle_gamma 34.03
_symmetry_space_group_name_H-M 'P 1'
_symmetry_Int_Tables_number 1
loop_
_symmetry_equiv_pos_as_xyz
'x,y,z'
loop_
_atom_site_label
_atom_site_fract_x
_atom_site_fract_y
_atom_site_fract_z
Tc1 0.000 0.000 0.000
Tc2 0.750 0.250 0.500
Mo1 0.118 0.625 0.993
Mo2 0.375 0.368 0.493
Mo3 0.632 0.125 0.007
Mo4 0.875 0.882 0.507
Rh1 0.250 0.750 0.500
Rh2 0.500 0.500 0.000
```